No. 1
Compound: ZnW2Cl
Source: Alexandria
Functional: GGA-PBE
Structure: optimized geometry

```
data_ZnW2Cl
_cell_length_a 3.272
_cell_length_b 4.674
_cell_length_c 4.964
_cell_angle_alpha 90.00
_cell_angle_beta 99.43
_cell_angle_gamma 90.00
_symmetry_space_group_name_H-M 'P 1 2/m 1'
_symmetry_Int_Tables_number 10
loop_
_symmetry_equiv_pos_as_xyz
'x,y,z'
'-x,-y,-z'
'-x,y,-z'
'x,-y,z'
loop_
_atom_site_label
_atom_site_type_symbol
_atom_site_fract_x
_atom_site_fract_y
_atom_site_fract_z
Zn1 Zn 0.000 0.000 0.000
W1 W 0.311 0.500 0.184
Cl1 Cl 0.500 0.000 0.500
```

ρ	10.39	Mg/m³
DFT total energy	-0.4807	Ry/atom
raw formation energy	69	kJ per mole of atoms
total moment	0.00	μB per formula unit


No. 2
Compound: Hf2ZnPd4
Source: Alexandria
Functional: GGA-PBE
Structure: optimized geometry

```
data_Hf2ZnPd4
_cell_length_a 6.100
_cell_length_b 5.220
_cell_length_c 8.113
_cell_angle_alpha 90.00
_cell_angle_beta 110.62
_cell_angle_gamma 90.00
_symmetry_space_group_name_H-M 'P 1 21/m 1'
_symmetry_Int_Tables_number 11
loop_
_symmetry_equiv_pos_as_xyz
'x,y,z'
'-x,-y,-z'
'-x,y+1/2,-z'
'x,-y+1/2,z'
loop_
_atom_site_label
_atom_site_type_symbol
_atom_site_fract_x
_atom_site_fract_y
_atom_site_fract_z
Hf1 Hf 0.181 0.250 0.079
Hf2 Hf 0.235 0.250 0.512
Zn1 Zn 0.266 0.750 0.314
Pd1 Pd 0.120 0.505 0.773
Pd2 Pd 0.427 0.750 0.654
Pd3 Pd 0.433 0.750 0.070
```

formation enthalpy at 0 K	-555	meV/atom
ρ	11.65	Mg/m³
DFT total energy	-0.4813	Ry/atom
total moment	0.00	μB per formula unit